1.
# Pr6Cu8P8O3

An optimized crystal structure of Pr6Cu8P8O3 (PBEsol, Alexandria via LeMat-Bulk).

Values from the calculation:
total energy: -6.37 eV per atom
symmetry: C222, No. 21
DOS(E_F): 4.86 states/eV/cell

POSCAR file:
```
Pr6Cu8P8O3
1.0
2.782 -13.075 0.000
2.782 13.075 0.000
0.000 0.000 5.563
Pr Cu P O
6 8 8 3
Direct
0.000 0.500 0.750 Pr
0.184 0.287 0.236 Pr
0.287 0.184 0.764 Pr
0.500 0.000 0.250 Pr
0.713 0.816 0.764 Pr
0.816 0.713 0.236 Pr
0.154 0.846 0.000 Cu
0.154 0.846 0.500 Cu
0.344 0.656 0.500 Cu
0.346 0.654 0.000 Cu
0.654 0.346 0.000 Cu
0.656 0.344 0.500 Cu
0.846 0.154 0.000 Cu
0.846 0.154 0.500 Cu
0.043 0.455 0.248 P
0.150 0.362 0.744 P
0.362 0.150 0.256 P
0.455 0.043 0.752 P
0.545 0.957 0.752 P
0.638 0.850 0.256 P
0.850 0.638 0.744 P
0.957 0.545 0.248 P
0.000 0.000 0.000 O
0.000 0.000 0.500 O
0.500 0.500 0.000 O
```


2.
# CuNi2

An optimized crystal structure of CuNi2 (PBEsol, Alexandria via LeMat-Bulk).

Values from the calculation:
calculated formation energy: 0.041 eV per atom
symmetry: I4_1/amd, No. 141
DOS(E_F): 15.52 states/eV/cell

POSCAR file:
```
CuNi2
1.0
-1.745 1.745 10.458
1.745 -1.745 10.458
1.745 1.745 -10.458
Cu Ni
4 8
Direct
0.292 0.542 0.750 Cu
0.458 0.708 0.750 Cu
0.542 0.292 0.250 Cu
0.708 0.458 0.250 Cu
0.043 0.793 0.250 Ni
0.125 0.375 0.750 Ni
0.207 0.957 0.250 Ni
0.375 0.125 0.250 Ni
0.625 0.875 0.750 Ni
0.793 0.043 0.750 Ni
0.875 0.625 0.250 Ni
0.957 0.207 0.750 Ni
```


3.
# TaBePt2

An optimized crystal structure of TaBePt2 (PBEsol, Alexandria via LeMat-Bulk).

Values from the calculation:
calculated formation energy: -0.511 eV per atom
symmetry: P2/m, No. 10
DOS(E_F): 2.14 states/eV/cell

POSCAR file:
```
TaBePt2
1.0
2.767 0.000 0.000
0.000 3.764 0.000
-0.010 0.000 5.471
Ta Be Pt
1 1 2
Direct
0.000 0.000 0.000 Ta
0.000 0.000 0.500 Be
0.499 0.500 0.740 Pt
0.501 0.500 0.260 Pt
```


4.
# Rb2PbCl

An optimized crystal structure of Rb2PbCl (PBEsol, Alexandria via LeMat-Bulk).

Values from the calculation:
total energy: -2.52 eV per atom
symmetry: Fm-3m, No. 225

POSCAR file:
```
Rb2PbCl
1.0
0.000 4.316 4.316
4.316 0.000 4.316
4.316 4.316 0.000
Rb Pb Cl
2 1 1
Direct
0.250 0.250 0.250 Rb
0.750 0.750 0.750 Rb
0.000 0.000 0.000 Pb
0.500 0.500 0.500 Cl
```


5.
# MgZn2Cd

An optimized crystal structure of MgZn2Cd (PBEsol, Alexandria via LeMat-Bulk).

Values from the calculation:
calculated formation energy: -0.003 eV per atom
symmetry: P4mm, No. 99
distance to the lowest polymorph of the same formula: 32 meV/atom
DOS(E_F): 1.21 states/eV/cell

POSCAR file:
```
MgZn2Cd
1.0
2.948 0.000 0.000
0.000 2.948 0.000
0.000 0.000 8.028
Mg Zn Cd
1 2 1
Direct
0.000 0.000 0.000 Mg
0.000 0.000 0.454 Zn
0.500 0.500 0.247 Zn
0.500 0.500 0.711 Cd
```


6.
# CaLaHg2

An optimized crystal structure of CaLaHg2 (PBEsol, Alexandria via LeMat-Bulk).

Values from the calculation:
calculated formation energy: -0.589 eV per atom
symmetry: P4/mmm, No. 123
distance to the lowest polymorph of the same formula: 35 meV/atom
DOS(E_F): 3.76 states/eV/cell

POSCAR file:
```
CaLaHg2
1.0
3.736 0.000 0.000
0.000 3.736 0.000
0.000 0.000 7.688
Ca La Hg
1 1 2
Direct
0.000 0.000 0.000 Ca
0.000 0.000 0.500 La
0.500 0.500 0.240 Hg
0.500 0.500 0.760 Hg
```


7.
# CsSnF3

An optimized crystal structure of CsSnF3 (PBEsol, Alexandria via LeMat-Bulk).

Values from the calculation:
total energy: -4.70 eV per atom
symmetry: R3c, No. 161
DOS(E_F): 0.00 states/eV/cell

POSCAR file:
```
CsSnF3
1.0
3.487 2.013 5.159
-3.487 2.013 5.159
0.000 -4.026 5.159
Cs Sn F
2 2 6
Direct
0.000 0.000 0.000 Cs
0.500 0.500 0.500 Cs
0.252 0.252 0.252 Sn
0.752 0.752 0.752 Sn
0.108 0.966 0.430 F
0.430 0.108 0.966 F
0.466 0.608 0.930 F
0.608 0.930 0.466 F
0.930 0.466 0.608 F
0.966 0.430 0.108 F
```


8.
# SrPAu

An optimized crystal structure of SrPAu (PBEsol, Alexandria via LeMat-Bulk).

Values from the calculation:
calculated formation energy: -0.921 eV per atom
symmetry: P-6m2, No. 187
DOS(E_F): 0.88 states/eV/cell

POSCAR file:
```
SrPAu
1.0
4.254 0.000 0.000
-2.127 3.684 0.000
0.000 0.000 4.314
Sr P Au
1 1 1
Direct
0.000 0.000 0.000 Sr
0.667 0.333 0.500 P
0.333 0.667 0.500 Au
```


9.
# BaMgCoF7

An optimized crystal structure of BaMgCoF7 (PBEsol, Alexandria via LeMat-Bulk).

Values from the calculation:
total energy: -5.47 eV per atom
symmetry: P2_1/c, No. 14

POSCAR file:
```
BaMgCoF7
1.0
5.435 0.000 0.000
0.000 9.661 0.000
-0.516 0.000 9.429
Ba Mg Co F
4 4 4 28
Direct
0.241 0.181 0.498 Ba
0.241 0.319 0.998 Ba
0.759 0.681 0.002 Ba
0.759 0.819 0.502 Ba
0.197 0.602 0.312 Mg
0.197 0.898 0.812 Mg
0.803 0.102 0.188 Mg
0.803 0.398 0.688 Mg
0.305 0.618 0.687 Co
0.305 0.882 0.187 Co
0.695 0.118 0.813 Co
0.695 0.382 0.313 Co
0.029 0.709 0.751 F
0.029 0.791 0.251 F
0.123 0.544 0.123 F
0.123 0.956 0.623 F
0.136 0.041 0.132 F
0.136 0.459 0.632 F
0.238 0.691 0.506 F
0.238 0.809 0.006 F
0.380 0.548 0.862 F
0.380 0.952 0.362 F
0.404 0.053 0.875 F
0.404 0.447 0.375 F
0.476 0.724 0.246 F
0.476 0.776 0.746 F
0.524 0.224 0.254 F
0.524 0.276 0.754 F
0.596 0.553 0.625 F
0.596 0.947 0.125 F
0.620 0.048 0.638 F
0.620 0.452 0.138 F
0.762 0.191 0.994 F
0.762 0.309 0.494 F
0.864 0.541 0.368 F
0.864 0.959 0.868 F
0.877 0.044 0.377 F
0.877 0.456 0.877 F
0.971 0.209 0.749 F
0.971 0.291 0.249 F
```


10.
# HfMn2H

An optimized crystal structure of HfMn2H (PBEsol, Alexandria via LeMat-Bulk).

Values from the calculation:
total energy: -7.50 eV per atom
symmetry: Fm-3m, No. 225
DOS(E_F): 2.40 states/eV/cell

POSCAR file:
```
HfMn2H
1.0
0.000 2.927 2.927
2.927 0.000 2.927
2.927 2.927 0.000
Hf Mn H
1 2 1
Direct
0.000 0.000 0.000 Hf
0.250 0.250 0.250 Mn
0.750 0.750 0.750 Mn
0.500 0.500 0.500 H
```


11.
# HfFe3Cl

An optimized crystal structure of HfFe3Cl (PBEsol, Alexandria via LeMat-Bulk).

Values from the calculation:
total energy: -7.42 eV per atom
symmetry: Pm-3m, No. 221
DOS(E_F): 3.27 states/eV/cell

POSCAR file:
```
HfFe3Cl
1.0
4.074 0.000 0.000
0.000 4.074 0.000
0.000 0.000 4.074
Hf Fe Cl
1 3 1
Direct
0.000 0.000 0.000 Hf
0.000 0.500 0.500 Fe
0.500 0.000 0.500 Fe
0.500 0.500 0.000 Fe
0.500 0.500 0.500 Cl
```


12.
# ScBO2

An optimized crystal structure of ScBO2 (PBEsol, Alexandria via LeMat-Bulk).

Values from the calculation:
total energy: -7.97 eV per atom
symmetry: R-3m, No. 166
DOS(E_F): 0.30 states/eV/cell

POSCAR file:
```
ScBO2
1.0
1.797 1.037 4.190
-1.797 1.037 4.190
0.000 -2.075 4.190
Sc B O
1 1 2
Direct
0.000 0.000 0.000 Sc
0.500 0.500 0.500 B
0.393 0.393 0.393 O
0.607 0.607 0.607 O
```


13.
# BWSI2

An optimized crystal structure of BWSI2 (PBEsol, Alexandria via LeMat-Bulk).

Values from the calculation:
total energy: -4.53 eV per atom
symmetry: P4/mmm, No. 123
DOS(E_F): 4.22 states/eV/cell

POSCAR file:
```
BWSI2
1.0
5.523 0.000 0.000
0.000 5.523 0.000
0.000 0.000 4.455
B W S I
1 1 1 2
Direct
0.000 0.000 0.000 B
0.500 0.500 0.500 W
0.500 0.500 0.000 S
0.000 0.500 0.500 I
0.500 0.000 0.500 I
```


14.
# Cs3Sm7Se12

An optimized crystal structure of Cs3Sm7Se12 (PBEsol, Alexandria via LeMat-Bulk).

Values from the calculation:
total energy: -5.65 eV per atom
symmetry: Pmn2_1, No. 31

POSCAR file:
```
Cs3Sm7Se12
1.0
4.200 0.000 0.000
0.000 12.894 0.000
0.000 0.000 26.325
Cs Sm Se
6 14 24
Direct
0.000 0.035 0.000 Cs
0.000 0.306 0.343 Cs
0.000 0.459 0.733 Cs
0.500 0.541 0.233 Cs
0.500 0.694 0.843 Cs
0.500 0.965 0.500 Cs
0.000 0.154 0.658 Sm
0.000 0.256 0.869 Sm
0.000 0.344 0.083 Sm
0.000 0.531 0.455 Sm
0.000 0.674 0.052 Sm
0.000 0.830 0.688 Sm
0.000 0.966 0.289 Sm
0.500 0.034 0.789 Sm
0.500 0.170 0.188 Sm
0.500 0.326 0.552 Sm
0.500 0.469 0.955 Sm
0.500 0.656 0.583 Sm
0.500 0.744 0.369 Sm
0.500 0.846 0.158 Sm
0.000 0.006 0.174 Se
0.000 0.176 0.549 Se
0.000 0.183 0.766 Se
0.000 0.319 0.974 Se
0.000 0.322 0.194 Se
0.000 0.493 0.568 Se
0.000 0.591 0.350 Se
0.000 0.621 0.947 Se
0.000 0.698 0.159 Se
0.000 0.804 0.581 Se
0.000 0.882 0.794 Se
0.000 0.893 0.390 Se
0.500 0.107 0.890 Se
0.500 0.118 0.294 Se
0.500 0.196 0.081 Se
0.500 0.302 0.659 Se
0.500 0.379 0.447 Se
0.500 0.409 0.850 Se
0.500 0.507 0.068 Se
0.500 0.678 0.694 Se
0.500 0.681 0.474 Se
0.500 0.817 0.266 Se
0.500 0.824 0.049 Se
0.500 0.994 0.674 Se
```


15.
# MgGeRh2

An optimized crystal structure of MgGeRh2 (PBEsol, Alexandria via LeMat-Bulk).

Values from the calculation:
calculated formation energy: -0.618 eV per atom
symmetry: Fm-3m, No. 225
DOS(E_F): 1.05 states/eV/cell

POSCAR file:
```
MgGeRh2
1.0
0.000 3.018 3.018
3.018 0.000 3.018
3.018 3.018 0.000
Mg Ge Rh
1 1 2
Direct
0.000 0.000 0.000 Mg
0.500 0.500 0.500 Ge
0.250 0.250 0.250 Rh
0.750 0.750 0.750 Rh
```


16.
# ReRuI2

An optimized crystal structure of ReRuI2 (PBEsol, Alexandria via LeMat-Bulk).

Values from the calculation:
total energy: -5.43 eV per atom
symmetry: Fm-3m, No. 225
DOS(E_F): 4.29 states/eV/cell

POSCAR file:
```
ReRuI2
1.0
0.000 3.324 3.324
3.324 0.000 3.324
3.324 3.324 0.000
Re Ru I
1 1 2
Direct
0.000 0.000 0.000 Re
0.500 0.500 0.500 Ru
0.250 0.250 0.250 I
0.750 0.750 0.750 I
```


17.
# TeBr

An optimized crystal structure of TeBr (PBEsol, Alexandria via LeMat-Bulk).

Values from the calculation:
total energy: -2.51 eV per atom
symmetry: R-3m, No. 166
DOS(E_F): 1.03 states/eV/cell

POSCAR file:
```
TeBr
1.0
1.715 0.990 4.952
-1.715 0.990 4.952
0.000 -1.980 4.952
Te Br
1 1
Direct
0.000 0.000 0.000 Te
0.500 0.500 0.500 Br
```


18.
# TeRu2Cl2

An optimized crystal structure of TeRu2Cl2 (PBEsol, Alexandria via LeMat-Bulk).

Values from the calculation:
total energy: -5.08 eV per atom
symmetry: I4/mmm, No. 139
DOS(E_F): 5.03 states/eV/cell

POSCAR file:
```
TeRu2Cl2
1.0
-2.005 2.005 5.503
2.005 -2.005 5.503
2.005 2.005 -5.503
Te Ru Cl
1 2 2
Direct
0.000 0.000 0.000 Te
0.396 0.396 0.000 Ru
0.604 0.604 0.000 Ru
0.250 0.750 0.500 Cl
0.750 0.250 0.500 Cl
```


19.
# SrHfTaOs2

An optimized crystal structure of SrHfTaOs2 (PBEsol, Alexandria via LeMat-Bulk).

Values from the calculation:
calculated formation energy: 2.821 eV per atom
symmetry: P4/mmm, No. 123
DOS(E_F): 5.25 states/eV/cell

POSCAR file:
```
SrHfTaOs2
1.0
4.692 0.000 0.000
0.000 4.692 0.000
0.000 0.000 4.730
Sr Hf Ta Os
1 1 1 2
Direct
0.000 0.000 0.000 Sr
0.500 0.500 0.500 Hf
0.000 0.000 0.500 Ta
0.000 0.500 0.000 Os
0.500 0.000 0.000 Os
```


20.
# Al2PtAu

An optimized crystal structure of Al2PtAu (PBEsol, Alexandria via LeMat-Bulk).

Values from the calculation:
calculated formation energy: -0.695 eV per atom
symmetry: P4mm, No. 99
distance to the lowest polymorph of the same formula: 0 meV/atom
DOS(E_F): 1.13 states/eV/cell

POSCAR file:
```
Al2PtAu
1.0
3.437 0.000 0.000
0.000 3.437 0.000
0.000 0.000 5.261
Al Pt Au
2 1 1
Direct
0.000 0.000 0.000 Al
0.500 0.500 0.312 Al
0.500 0.500 0.831 Pt
0.000 0.000 0.497 Au
```


21.
# NaTiS2

An optimized crystal structure of NaTiS2 (PBEsol, Alexandria via LeMat-Bulk).

Values from the calculation:
total energy: -6.02 eV per atom
symmetry: R-3m, No. 166
DOS(E_F): 2.34 states/eV/cell

POSCAR file:
```
NaTiS2
1.0
1.735 1.002 6.697
-1.735 1.002 6.697
0.000 -2.003 6.697
Na Ti S
1 1 2
Direct
0.000 0.000 0.000 Na
0.500 0.500 0.500 Ti
0.238 0.238 0.238 S
0.762 0.762 0.762 S
```


22.
# GaAgF2

An optimized crystal structure of GaAgF2 (PBEsol, Alexandria via LeMat-Bulk).

Values from the calculation:
total energy: -3.79 eV per atom
symmetry: R-3m, No. 166
DOS(E_F): 0.46 states/eV/cell

POSCAR file:
```
GaAgF2
1.0
1.432 0.827 7.522
-1.432 0.827 7.522
0.000 -1.654 7.522
Ga Ag F
1 1 2
Direct
0.000 0.000 0.000 Ga
0.500 0.500 0.500 Ag
0.088 0.088 0.088 F
0.912 0.912 0.912 F
```


23.
# Te2MoRu

An optimized crystal structure of Te2MoRu (PBEsol, Alexandria via LeMat-Bulk).

Values from the calculation:
symmetry: Fm-3m, No. 225
distance to the lowest polymorph of the same formula: 9 meV/atom
DOS(E_F): 2.64 states/eV/cell

POSCAR file:
```
Te2MoRu
1.0
0.000 3.282 3.282
3.282 0.000 3.282
3.282 3.282 0.000
Te Mo Ru
2 1 1
Direct
0.250 0.250 0.250 Te
0.750 0.750 0.750 Te
0.000 0.000 0.000 Mo
0.500 0.500 0.500 Ru
```


24.
# MgZnSbF2

An optimized crystal structure of MgZnSbF2 (PBEsol, Alexandria via LeMat-Bulk).

Values from the calculation:
total energy: -4.01 eV per atom
symmetry: P4/mmm, No. 123
DOS(E_F): 2.42 states/eV/cell

POSCAR file:
```
MgZnSbF2
1.0
3.803 0.000 0.000
0.000 3.803 0.000
0.000 0.000 6.663
Mg Zn Sb F
1 1 1 2
Direct
0.000 0.000 0.000 Mg
0.500 0.500 0.500 Zn
0.000 0.000 0.500 Sb
0.000 0.500 0.000 F
0.500 0.000 0.000 F
```


Total magnetization in Bohr magnetons per cell, matching the order above: 0.0; 3.6; 0.0; 3.0; 0.0; 0.0; 0.0; 0.0; 0.6; 4.6; 3.6; 0.0; 1.5; 0.0; 0.0; 0.0; 0.0; 0.0; 0.0; 0.0; 0.0; 0.0; 0.0; 0.0